[1]
Below is a relaxed MgCuIrRu crystal, with properties calculated at the PBE-GGA level.

```
MgCuIrRu
1.0
0.000 3.065 3.065
3.065 0.000 3.065
3.065 3.065 0.000
Mg Cu Ir Ru
1 1 1 1
direct
0.000 0.000 0.000 Mg
0.250 0.250 0.250 Cu
0.750 0.750 0.750 Ir
0.500 0.500 0.500 Ru
```

Magnetization, μB/cell: 0.00
Crystal system: cubic
Total DFT energy (no corrections), eV/atom: -5.879
Energy of formation from the pure elements, kJ per mole of atoms: 7.5


[2]
Below is a relaxed MgCuSbIr crystal, with properties calculated at the PBE-GGA level.

```
MgCuSbIr
1.0
0.000 3.216 3.216
3.216 0.000 3.216
3.216 3.216 0.000
Mg Cu Sb Ir
1 1 1 1
direct
0.000 0.000 0.000 Mg
0.750 0.750 0.750 Cu
0.500 0.500 0.500 Sb
0.250 0.250 0.250 Ir
```

Magnetization, μB/cell: 0.00
ΔE_f (raw), kJ/mol of atoms: -9.7
Crystal system: cubic
Total DFT energy (no corrections), eV/atom: -4.769


[3]
Below is a relaxed Mg2CuSi2Ir5 crystal, with properties calculated at the PBE-GGA level.

```
Mg2CuSi2Ir5
1.0
9.624 0.000 0.000
0.000 9.624 0.000
0.000 0.000 3.219
Mg Cu Si Ir
4 2 4 10
direct
0.171 0.329 0.000 Mg
0.329 0.829 0.000 Mg
0.671 0.171 0.000 Mg
0.829 0.671 0.000 Mg
0.000 0.000 0.000 Cu
0.500 0.500 0.000 Cu
0.132 0.632 0.000 Si
0.368 0.132 0.000 Si
0.632 0.868 0.000 Si
0.868 0.368 0.000 Si
0.000 0.500 0.500 Ir
0.069 0.799 0.500 Ir
0.201 0.069 0.500 Ir
0.299 0.569 0.500 Ir
0.431 0.299 0.500 Ir
0.500 0.000 0.500 Ir
0.569 0.701 0.500 Ir
0.701 0.431 0.500 Ir
0.799 0.931 0.500 Ir
0.931 0.201 0.500 Ir
```

Magnetization, μB/cell: 0.00
ΔE_f (raw), kJ/mol of atoms: -39.5
Crystal system: tetragonal
Total DFT energy (no corrections), eV/atom: -6.654


[4]
Below is a relaxed Mg2CuSiIr crystal, with properties calculated at the PBE-GGA level.

```
Mg2CuSiIr
1.0
4.869 0.000 0.000
0.000 4.869 0.000
0.000 0.000 4.229
Mg Cu Si Ir
2 1 1 1
direct
0.000 0.500 0.000 Mg
0.500 0.000 0.000 Mg
0.000 0.000 0.500 Cu
0.000 0.000 0.000 Si
0.500 0.500 0.500 Ir
```

Magnetization, μB/cell: 1.57
ΔE_f (raw), kJ/mol of atoms: 74.2
Crystal system: tetragonal
Total DFT energy (no corrections), eV/atom: -3.544